(1)
# GGA-PBE Ac2NpB12Os3, optimized geometry
# M_tot = 3.9 μB/f.u.
# Formation energy from the elements = 0.40 eV per atom
# Fermi-level density of states = 13.93 states/eV/f.u.
data_Ac2NpB12Os3
_chemical_formula_sum 'Ac6 Np3 B36 Os9'
_symmetry_space_group_name_H-M 'R -3 m'
_symmetry_Int_Tables_number 166
_symmetry_space_group_name_Hall '-R 3 2"'
_cell_length_a 6.6088
_cell_length_b 6.6088
_cell_length_c 20.1756
_cell_angle_alpha 90.00
_cell_angle_beta 90.00
_cell_angle_gamma 120.00
loop_
_atom_site_label
_atom_site_type_symbol
_atom_site_fract_x
_atom_site_fract_y
_atom_site_fract_z
Ac1 Ac 0.0000 0.0000 0.1129
Np1 Np 0.0000 0.0000 0.5000
B1 B 0.0259 0.5129 0.8937
B2 B 0.0953 0.1905 0.7381
Os1 Os 0.0000 0.5000 0.0000

=====

(2)
# GGA-PBE AcB4O7, optimized geometry
# M_tot = 0.2 μB/f.u.
# Uncorrected formation energy = -55.4 kcal/mol of atoms
# Fermi-level density of states = 1.28 states/eV/f.u.
data_AcB4O7
_chemical_formula_sum 'Ac2 B8 O14'
_symmetry_space_group_name_H-M 'P m n 21'
_symmetry_Int_Tables_number 31
_cell_length_a 11.323
_cell_length_b 4.672
_cell_length_c 4.266
_cell_angle_alpha 90.00
_cell_angle_beta 90.00
_cell_angle_gamma 90.00
loop_
_symmetry_equiv_pos_as_xyz
'x,y,z'
'-x+1/2,-y,z+1/2'
'-x,y,z'
'x+1/2,-y,z+1/2'
loop_
_atom_site_label
_atom_site_type_symbol
_atom_site_fract_x
_atom_site_fract_y
_atom_site_fract_z
Ac1 Ac 0.000 0.186 0.000
B1 B 0.122 0.670 0.421
B2 B 0.242 0.819 0.886
O1 O 0.000 0.689 0.292
O2 O 0.130 0.754 0.741
O3 O 0.170 0.394 0.339
O4 O 0.209 0.899 0.227

=====

(3)
# GGA-PBE AcBO, optimized geometry
# M_tot = 0.0 μB/f.u.
# Uncorrected formation energy = -32.1 kcal/mol of atoms
# Fermi-level density of states = 0.29 states/eV/f.u.
data_AcBO
_chemical_formula_sum 'Ac8 B8 O8'
_symmetry_space_group_name_H-M 'C m c e'
_symmetry_Int_Tables_number 64
_symmetry_space_group_name_Hall '-C 2ac 2'
_cell_length_a 5.534
_cell_length_b 6.066
_cell_length_c 14.146
_cell_angle_alpha 90.00
_cell_angle_beta 90.00
_cell_angle_gamma 90.00
loop_
_atom_site_label
_atom_site_type_symbol
_atom_site_fract_x
_atom_site_fract_y
_atom_site_fract_z
Ac1 Ac 0.000 0.003 0.155
B1 B 0.000 0.130 0.499
O1 O 0.250 0.247 0.750